This record from Alexandria describes Pu4Pa3Ga4 after structural relaxation. The functional is PBE.

The structure in POSCAR format:
```
Pu4Pa3Ga4
1.0
-1.274 2.820 -6.557
-5.122 -4.887 1.566
-0.101 5.283 4.964
Pu Pa Ga
4 3 4
Cartesian
-1.277 -1.218 0.391
-0.025 1.317 1.238
-0.318 0.703 -1.635
-4.878 2.415 -0.020
-3.198 -1.033 -2.495
-0.688 4.052 -0.796
-2.612 0.198 3.265
-3.113 -2.970 0.952
-0.775 1.714 -3.985
-0.062 3.211 3.017
-2.549 1.262 -0.010
```

total DFT energy (no corrections): -8.412 eV per atom
space group: I-43m (217)
Fermi-level density of states: 2.75 states/eV per atom



This record from Alexandria describes Ta2ReHPt after structural relaxation. The functional is PBE.

The structure in POSCAR format:
```
Ta2ReHPt
1.0
-4.256 -2.460 -1.074
1.198 -3.543 3.367
-1.518 1.637 2.263
Re H Pt Ta
1 1 1 2
Cartesian
-2.288 -2.183 2.278
-0.759 0.819 1.131
0.000 0.000 0.000
0.599 -1.771 1.684
-2.128 -1.230 -0.537
```

space group: P4/mmm (123)
Fermi-level density of states: 0.75 states/eV per atom
energy above the most stable polymorph in this dataset: 947.5 meV/atom



This record from Alexandria describes Sm2DyHo4Er2 after structural relaxation. The functional is PBE.

The structure in POSCAR format:
```
Sm2DyHo4Er2
1.0
-2.272 0.110 -2.763
-5.236 -4.522 6.443
-0.199 9.483 0.542
Sm Dy Ho Er
2 1 4 2
Cartesian
-5.691 0.078 2.365
-2.017 4.993 1.857
0.000 0.000 0.000
-5.285 3.565 2.170
-2.422 1.507 2.052
-1.440 3.029 -1.013
-6.268 2.043 5.235
-4.447 6.490 3.916
-3.260 -1.418 0.306
```

total DFT energy (no corrections): -4.602 eV per atom
space group: C2/m (12)
Fermi-level density of states: 1.32 states/eV per atom



This record from Alexandria describes Pr8Tm3 after structural relaxation. The functional is PBE.

The structure in POSCAR format:
```
Pr8Tm3
1.0
7.358 0.281 0.274
0.467 7.349 0.274
0.467 0.456 7.340
Pr Tm
8 3
Cartesian
6.721 2.587 1.431
2.757 1.595 6.616
1.665 6.681 2.551
3.239 3.158 3.081
5.054 4.928 4.807
6.629 1.404 5.337
5.536 6.490 1.272
1.572 5.498 6.457
3.913 0.368 3.807
0.467 3.902 3.807
3.913 3.815 0.274
```

space group: R-3 (148)
Fermi-level density of states: 1.14 states/eV per atom
energy above the most stable polymorph in this dataset: 421.4 meV/atom



This record from Alexandria describes Zn3SeF after structural relaxation. The functional is PBE.

The structure in POSCAR format:
```
Zn3SeF
1.0
-4.864 0.916 3.502
-4.526 -3.169 -2.868
-2.045 -5.452 2.700
Zn Se F
6 2 2
Cartesian
-3.945 -3.042 -1.572
-6.501 -4.412 -0.420
-6.427 -2.142 2.536
-4.374 -0.501 1.897
-8.312 -6.233 2.956
-3.493 -2.695 0.930
-5.344 -4.217 1.728
-9.569 -4.568 1.607
-7.833 -7.721 1.553
-6.277 -4.149 5.491
```

formation energy without anion corrections: -3.869 eV per formula unit
space group: P1 (1)
energy above the most stable polymorph in this dataset: 34.6 meV/atom



This record from Alexandria describes CuSNCl2 after structural relaxation. The functional is PBE.

The structure in POSCAR format:
```
CuSNCl2
1.0
-3.173 1.099 -2.940
-2.081 -3.866 0.801
-2.511 2.074 3.486
S N Cu Cl
1 1 1 2
Cartesian
-1.255 1.037 1.743
-3.883 -0.347 0.673
0.000 0.000 0.000
-1.041 -1.933 0.400
-1.587 0.550 -1.470
```

formation energy without anion corrections: 7.588 eV per formula unit
space group: P4/mmm (123)
Fermi-level density of states: 1.19 states/eV per atom
energy above the most stable polymorph in this dataset: 348.4 meV/atom



This record from Alexandria describes AcTbCu2Si2 after structural relaxation. The functional is PBE.

The structure in POSCAR format:
```
AcTbCu2Si2
1.0
-3.114 1.855 2.221
-0.371 -0.452 -4.211
-3.490 -7.148 1.075
Ac Tb Cu Si
1 1 2 2
Cartesian
0.000 0.000 0.000
-1.745 -3.574 0.538
-3.784 -4.800 -1.297
-3.192 -0.945 0.383
-2.246 -1.651 -1.771
-4.729 -4.094 0.857
```

formation energy without anion corrections: -3.625 eV per formula unit
space group: P-3m1 (164)
Fermi-level density of states: 0.35 states/eV per atom



This record from Alexandria describes AcMnSi after structural relaxation. The functional is PBE.

The structure in POSCAR format:
```
AcMnSi
1.0
4.007 -0.192 0.052
0.192 4.010 0.053
-0.126 -0.115 8.897
Ac Mn Si
2 2 2
Cartesian
3.348 3.247 5.536
1.300 1.384 2.054
3.215 1.208 8.244
1.308 3.309 8.243
3.419 3.311 0.685
1.229 1.320 6.906
```

formation energy without anion corrections: -1.191 eV per formula unit
space group: P4/nmm (129)
Fermi-level density of states: 0.80 states/eV per atom